# 1
PmIn2Ni after structural relaxation, computed with GGA-PBE.

Properties
The raw total energy comes out at -3.801 eV per atom. The value obtained for the energy above the most stable polymorph in this dataset is 0.636 eV/atom. The formation enthalpy at 0 K is 201 meV/atom. As for the total magnetization: 0.0 μB per formula unit.

Cell lengths 10.1983, 10.1983, 10.1983 Å; angles 19.30, 19.30, 19.30 degrees
Closest atoms and distances in Å follow each position.
Atoms (fractional coordinates):
Pm 0.0000 0.0000 0.0000  2 In 3.22, 6 Pm 3.42
In 0.1074 0.1074 0.1074  3 Ni 2.66
In 0.8926 0.8926 0.8926  3 Ni 2.66
Ni 0.5000 0.5000 0.5000  6 In 2.66

---

# 2
Pm2InNi2 after structural relaxation, computed with GGA-PBE.

Properties
The raw total energy comes out at -5.231 eV per atom. The value obtained for the energy above the most stable polymorph in this dataset is 0.000 eV/atom. The formation enthalpy at 0 K is -471 meV/atom. As for the total magnetization: 0.0 μB per formula unit.

Cell lengths 7.5709, 7.5709, 3.8066 Å; angles 90.00, 90.00, 149.73 degrees
Closest atoms and distances in Å follow each position.
Atoms (fractional coordinates):
Pm 0.1375 0.8625 0.0000  6 Ni 2.89-3.04
Pm 0.8625 0.1375 0.0000  6 Ni 2.89-3.04
In 0.5000 0.5000 0.5000  2 Ni 2.93
Ni 0.2997 0.7003 0.5000  2 Ni 2.45
Ni 0.7003 0.2997 0.5000  2 Ni 2.45

---

# 3
Pm2In9Ni3 after structural relaxation, computed with GGA-PBE.

Properties
The raw total energy comes out at -3.942 eV per atom. The formation enthalpy at 0 K is -264 meV/atom. As for the total magnetization: 0.0 μB per formula unit.

Cell lengths 8.1976, 8.1976, 11.3966 Å; angles 111.26, 111.26, 59.87 degrees
Closest atoms and distances in Å follow each position.
Atoms (fractional coordinates):
Pm 0.0855 0.2517 0.2517  11 In 3.25-3.36
Pm 0.2517 0.0855 0.7517  11 In 3.25-3.36
Pm 0.7483 0.9145 0.2483  11 In 3.25-3.36
Pm 0.9145 0.7483 0.7483  11 In 3.25-3.36
In 0.0139 0.8667 0.0714  3 Ni 2.75-2.87, 3 In 3.04-3.07
In 0.1333 0.9861 0.4286  3 Ni 2.75-2.87, 3 In 3.04-3.07
In 0.1821 0.3575 0.5724  3 Ni 2.77-2.88, 5 In 3.04-3.09
In 0.1950 0.5822 0.2513  2 Ni 2.73-2.75
In 0.3055 0.4818 0.9426  3 Ni 2.73-2.83
In 0.3575 0.1821 0.0724  3 Ni 2.77-2.88, 5 In 3.04-3.09
In 0.3592 0.6408 0.7500  2 Ni 2.74
In 0.4178 0.8050 0.2487  2 Ni 2.73-2.75
In 0.4818 0.3055 0.4426  3 Ni 2.73-2.83
In 0.5182 0.6945 0.5574  3 Ni 2.73-2.83
In 0.5822 0.1950 0.7513  2 Ni 2.73-2.75
In 0.6408 0.3592 0.2500  2 Ni 2.74
In 0.6425 0.8179 0.9276  3 Ni 2.77-2.88, 5 In 3.04-3.09
In 0.6945 0.5182 0.0574  3 Ni 2.73-2.83
In 0.8050 0.4178 0.7487  2 Ni 2.73-2.75
In 0.8179 0.6425 0.4276  3 Ni 2.77-2.88, 5 In 3.04-3.09
In 0.8667 0.0139 0.5714  3 Ni 2.75-2.87, 3 In 3.04-3.07
In 0.9861 0.1333 0.9286  3 Ni 2.75-2.87, 3 In 3.04-3.07
Ni 0.0000 0.5000 0.0000  8 In 2.73-2.87
Ni 0.1675 0.6669 0.4998  8 In 2.73-2.88
Ni 0.3331 0.8325 0.0002  8 In 2.73-2.88
Ni 0.5000 0.0000 0.5000  8 In 2.73-2.87
Ni 0.6669 0.1675 0.9998  8 In 2.73-2.88
Ni 0.8325 0.3331 0.5002  8 In 2.73-2.88

---

# 4
PmIn6Ni3 after structural relaxation, computed with GGA-PBE.

Properties
The raw total energy comes out at -4.067 eV per atom. The formation enthalpy at 0 K is -214 meV/atom. As for the total magnetization: 0.0 μB per formula unit.

Cell lengths 9.4821, 4.4093, 9.9469 Å; angles 90.00, 96.12, 90.00 degrees
Closest atoms and distances in Å follow each position.
Atoms (fractional coordinates):
Pm 0.0987 0.2500 0.2571  4 Ni 3.18-3.30, 10 In 3.23-3.53
Pm 0.9013 0.7500 0.7429  4 Ni 3.18-3.30, 10 In 3.23-3.53
In 0.0859 0.2500 0.9218  4 Ni 2.65-2.82
In 0.1215 0.7500 0.5021  3 Ni 2.65-2.71
In 0.2759 0.7500 0.7895  4 Ni 2.63-2.88
In 0.3488 0.7500 0.2927  3 Ni 2.61-2.70
In 0.3601 0.2500 0.5550  4 Ni 2.62-2.76
In 0.3965 0.2500 0.0727  3 Ni 2.69-2.85
In 0.6035 0.7500 0.9273  3 Ni 2.69-2.85
In 0.6399 0.7500 0.4450  4 Ni 2.62-2.76
In 0.6512 0.2500 0.7073  3 Ni 2.61-2.70
In 0.7241 0.2500 0.2105  4 Ni 2.63-2.88
In 0.8785 0.2500 0.4979  3 Ni 2.65-2.71
In 0.9141 0.7500 0.0782  4 Ni 2.65-2.82
Ni 0.1184 0.2500 0.6609  7 In 2.62-2.88
Ni 0.2058 0.7500 0.0432  7 In 2.68-2.85
Ni 0.4943 0.2500 0.3362  7 In 2.61-2.76
Ni 0.5057 0.7500 0.6638  7 In 2.61-2.76
Ni 0.7942 0.2500 0.9568  7 In 2.68-2.85
Ni 0.8816 0.7500 0.3391  7 In 2.62-2.88